No. 1
## Pm6Si2TeS3 (PBE-GGA)

Data for a relaxed Pm6Si2TeS3 crystal.

* raw formation energy: -1.5036 eV per atom
* DOS at the Fermi energy: 0.346 states/eV/atom
* DFT total energy: -72.92 eV for the cell shown
* volume: 26.091 A^3/atom

```
data_Pm6Si2TeS3
_chemical_formula_sum 'Pm6 Si2 Te1 S3'
_symmetry_space_group_name_H-M 'P 1'
_symmetry_Int_Tables_number 1
_cell_length_a 4.182
_cell_length_b 8.427
_cell_length_c 9.333
_cell_angle_alpha 102.07
_cell_angle_beta 102.95
_cell_angle_gamma 90.00
loop_
_symmetry_equiv_pos_as_xyz
'x,y,z'
loop_
_atom_site_label
_atom_site_fract_x
_atom_site_fract_y
_atom_site_fract_z
Pm1 0.325 0.903 0.651
Pm2 0.667 0.584 0.335
Pm3 0.675 0.097 0.349
Pm4 0.004 0.275 0.008
Pm5 0.996 0.725 0.992
Pm6 0.333 0.416 0.665
Si1 0.833 0.665 0.666
Si2 0.167 0.335 0.334
Te1 0.500 0.000 0.000
S1 0.500 0.500 0.000
S2 0.836 0.164 0.672
S3 0.164 0.836 0.328
```

No. 2
## RbAsP2Se8 (PBE-GGA)

Data for a relaxed RbAsP2Se8 crystal.

* raw formation energy: -0.1185 eV per atom
* DOS at the Fermi energy: 0.846 states/eV/atom
* DFT total energy: -45.74 eV for the cell shown
* volume: 29.818 A^3/atom

```
data_RbAsP2Se8
_chemical_formula_sum 'Rb1 As1 P2 Se8'
_symmetry_space_group_name_H-M 'P 1'
_symmetry_Int_Tables_number 1
_cell_length_a 6.212
_cell_length_b 6.212
_cell_length_c 11.292
_cell_angle_alpha 74.04
_cell_angle_beta 74.04
_cell_angle_gamma 60.00
loop_
_symmetry_equiv_pos_as_xyz
'x,y,z'
loop_
_atom_site_label
_atom_site_fract_x
_atom_site_fract_y
_atom_site_fract_z
Rb1 0.500 0.500 0.500
As1 0.000 0.000 0.000
P1 0.262 0.262 0.213
P2 0.738 0.738 0.787
Se1 0.195 0.195 0.415
Se2 0.624 0.296 0.157
Se3 0.805 0.805 0.585
Se4 0.923 0.624 0.157
Se5 0.077 0.376 0.843
Se6 0.296 0.923 0.157
Se7 0.704 0.077 0.843
Se8 0.376 0.704 0.843
```